Here is a relaxed structure of K2MnF4 from Alexandria. Energies are from GGA+U.

a b c (Å): 4.2444 4.2444 13.4126
angles (deg): 90.00 90.00 90.00
Space group I4/mmm (No. 139)
Symmetry-distinct sites (fractional):
K 0.0000 0.0000 0.1465 x4
Mn 0.0000 0.0000 0.5000 x2
F 0.0000 0.0000 0.3406 x4
F 0.0000 0.5000 0.0000 x4

Properties
Crystal system: tetragonal
N(E_F) in states/eV/f.u.: 0.00
VASP energy in eV/atom: -5.214